A relaxed MgSc2Nb crystal, computed with PBE.

```
data_MgSc2Nb
_chemical_formula_sum 'Mg3 Sc6 Nb3'
_cell_length_a 3.1591
_cell_length_b 3.1591
_cell_length_c 30.6917
_cell_angle_alpha 90.00
_cell_angle_beta 90.00
_cell_angle_gamma 120.00
_symmetry_space_group_name_H-M 'R -3 m'
_symmetry_Int_Tables_number 166
_symmetry_space_group_name_Hall '-R 3 2"'
loop_
_atom_site_label
_atom_site_type_symbol
_atom_site_fract_x
_atom_site_fract_y
_atom_site_fract_z
Mg1 Mg 0.0000 0.0000 0.0000
Sc1 Sc 0.0000 0.0000 0.2447
Nb1 Nb 0.0000 0.0000 0.5000
```

Output
Magnetization = 0.18 μB/cell
DOS(E_F) = 16.85 states/eV/cell
Energy relative to the elements = 0.09 eV per atom
VASP energy = -23.98 eV/f.u.